A relaxed structure of Na3CeTm3Te8, computed with GGA-PBE.

Its formation energy without anion corrections is -1.258 eV per atom. The density is 5.724 g cm⁻³.

It has space group C2/m (No. 12), with a = 15.181 Å, b = 8.766 Å, c = 9.111 Å, α = 90.00°, β = 123.79° and γ = 90.00°. The distinct sites, in fractional coordinates, are Na at (0.000, 0.000, 0.000), Na at (0.250, 0.250, 0.000), Ce at (0.000, 0.000, 0.500), Tm at (0.000, 0.500, 0.500), Tm at (0.250, 0.250, 0.500), Te at (0.008, 0.255, 0.270), Te at (0.243, 0.500, 0.730) and Te at (0.247, 0.000, 0.730).

---

A relaxed structure of TlCr2Te, computed with GGA-PBE.

The value obtained for the density of states at the Fermi level is 0.61 states/eV/atom. Its formation energy without anion corrections is 0.486 eV per atom. The density is 8.227 g cm⁻³.

It has space group Pm (No. 6), with a = 3.796 Å, b = 4.235 Å, c = 5.792 Å, α = 90.00°, β = 109.09° and γ = 90.00°. The distinct sites, in fractional coordinates, are Tl at (0.000, 0.000, 0.000), Cr at (0.536, 0.500, 0.072), Cr at (0.733, 0.000, 0.464) and Te at (0.272, 0.500, 0.540).

---

A relaxed structure of CeNd3Rh3, computed with GGA-PBE.

The value obtained for the density of states at the Fermi level is 0.77 states/eV/atom. The density is 8.291 g cm⁻³.

It has space group C2/m (No. 12), with a = 9.552 Å, b = 10.237 Å, c = 7.224 Å, α = 90.00°, β = 91.14° and γ = 90.00°. The distinct sites, in fractional coordinates, are Ce at (0.234, 0.000, 0.140), Nd at (0.000, 0.174, 0.500), Nd at (0.000, 0.258, 0.000), Nd at (0.164, 0.500, 0.373), Rh at (0.075, 0.000, 0.814) and Rh at (0.237, 0.280, 0.712).

---

A relaxed structure of TaZnAu, computed with GGA-PBE.

The value obtained for the density of states at the Fermi level is 0.47 states/eV/atom. The density is 14.537 g cm⁻³.

It has space group P4/nmm (No. 129, origin choice 2), with a = 2.918 Å, b = 2.918 Å, c = 11.894 Å, α = 90.00°, β = 90.00° and γ = 90.00°. The distinct sites, in fractional coordinates, are Ta at (0.250, 0.250, 0.094), Zn at (0.250, 0.250, 0.427) and Au at (0.250, 0.250, 0.731).

---

A relaxed structure of Na3ScAs, computed with GGA-PBE.

The value obtained for the density of states at the Fermi level is 1.37 states/eV/atom. The density is 1.855 g cm⁻³.

It has space group Pm-3m (No. 221), with a = 5.529 Å, b = 5.529 Å, c = 5.529 Å, α = 90.00°, β = 90.00° and γ = 90.00°. The distinct sites, in fractional coordinates, are Na at (0.000, 0.000, 0.500), Sc at (0.500, 0.500, 0.500) and As at (0.000, 0.000, 0.000).

---

A relaxed structure of Al7Ga3, computed with GGA-PBE.

The value obtained for the density of states at the Fermi level is 0.33 states/eV/atom. The density is 3.898 g cm⁻³.

It has space group C2/m (No. 12), with a = 14.570 Å, b = 4.161 Å, c = 5.693 Å, α = 90.00°, β = 100.72° and γ = 90.00°. The distinct sites, in fractional coordinates, are Al at (0.000, 0.000, 0.000), Al at (0.100, 0.500, 0.303), Al at (0.100, 0.500, 0.801), Al at (0.200, 0.000, 0.602), Ga at (0.000, 0.000, 0.500) and Ga at (0.197, 0.000, 0.102).

---

A relaxed structure of Ca2Y4As3O2, computed with GGA-PBE.

The value obtained for the density of states at the Fermi level is 0.23 states/eV/atom. Its formation energy without anion corrections is -1.829 eV per atom. The density is 4.707 g cm⁻³.

It has space group I4/mmm (No. 139), with a = 4.573 Å, b = 4.573 Å, c = 23.366 Å, α = 90.00°, β = 90.00° and γ = 90.00°. The distinct sites, in fractional coordinates, are Ca at (0.000, 0.000, 0.199), Y at (0.000, 0.500, 0.080), As at (0.000, 0.000, 0.328), As at (0.000, 0.000, 0.500) and O at (0.000, 0.000, 0.099).

---

A relaxed structure of LiYSiF2, computed with GGA-PBE.

The value obtained for the density of states at the Fermi level is 0.60 states/eV/atom. Its formation energy without anion corrections is -1.240 eV per atom. The density is 3.038 g cm⁻³.

It has space group P4/mmm (No. 123), with a = 3.970 Å, b = 3.970 Å, c = 5.617 Å, α = 90.00°, β = 90.00° and γ = 90.00°. The distinct sites, in fractional coordinates, are Li at (0.000, 0.000, 0.000), Y at (0.000, 0.000, 0.500), Si at (0.500, 0.500, 0.500) and F at (0.000, 0.500, 0.000).

---

A relaxed structure of Ti2GaRu, computed with GGA-PBE.

The value obtained for the density of states at the Fermi level is 0.89 states/eV/atom. The density is 7.254 g cm⁻³.

It has space group P4/mmm (No. 123), with a = 3.171 Å, b = 3.171 Å, c = 6.068 Å, α = 90.00°, β = 90.00° and γ = 90.00°. The distinct sites, in fractional coordinates, are Ti at (0.000, 0.000, 0.241), Ga at (0.500, 0.500, 0.500) and Ru at (0.500, 0.500, 0.000).

---

A relaxed structure of Sc6Pd8Au, computed with GGA-PBE.

The value obtained for the density of states at the Fermi level is 0.46 states/eV/atom. The density is 7.644 g cm⁻³.

It has space group R-3 (No. 148, hexagonal axes), with a = 7.7547 Å, b = 7.7547 Å, c = 16.4945 Å, α = 90.00°, β = 90.00° and γ = 120.00°. The distinct sites, in fractional coordinates, are Sc at (0.0013, 0.7324, 0.3969), Pd at (0.0000, 0.0000, 0.2831), Pd at (0.0247, 0.7197, 0.8899) and Au at (0.0000, 0.0000, 0.0000).

---

A relaxed structure of Rb2MgHgF6, computed with GGA-PBE.

The value obtained for the density of states at the Fermi level is 0.00 states/eV/atom. Its formation energy without anion corrections is -2.626 eV per atom. The density is 5.110 g cm⁻³.

It has space group Fm-3m (No. 225), with a = 8.718 Å, b = 8.718 Å, c = 8.718 Å, α = 90.00°, β = 90.00° and γ = 90.00°. The distinct sites, in fractional coordinates, are Rb at (0.250, 0.250, 0.250), Mg at (0.000, 0.000, 0.000), Hg at (0.000, 0.000, 0.500) and F at (0.000, 0.000, 0.232).

---

A relaxed structure of Rb2GaSbS4, computed with GGA-PBE.

The value obtained for the density of states at the Fermi level is 0.00 states/eV/atom. Its formation energy without anion corrections is -0.764 eV per atom. The density is 3.044 g cm⁻³.

It has space group Pmn2_1 (No. 31), with a = 9.295 Å, b = 8.683 Å, c = 6.632 Å, α = 90.00°, β = 90.00° and γ = 90.00°. The distinct sites, in fractional coordinates, are Rb at (0.238, 0.162, 0.000), Ga at (0.000, 0.366, 0.531), Sb at (0.000, 0.676, 0.022), S at (0.000, 0.418, 0.886), S at (0.000, 0.613, 0.386) and S at (0.207, 0.228, 0.489).

---

We obtain raw total energy values of -4.49 -5.70 -6.63 -5.57 -2.66 -3.50 -6.71 -4.75 -7.55 -6.20 -4.13 -3.96 eV per atom for the records listed above, in that order.